[1]
Computed, not measured: a relaxed structure of Mg2ReTc at the GGA-PBE level of DFT.

Output
* N(E_F): 3.2 states/eV/cell
* total DFT energy (no corrections): -6.161 eV per atom
* space-group type: P4/mmm, No. 123

a = 3.7856 Å, b = 3.7856 Å, c = 4.4806 Å
α = 90.00°, β = 90.00°, γ = 90.00°
Sites, in units of the cell vectors:
Mg 0.0000 0.5000 0.0000
Mg 0.5000 0.0000 0.0000
Re 0.0000 0.0000 0.5000
Tc 0.5000 0.5000 0.5000

[2]
Computed, not measured: a relaxed structure of Ag2SeN at the GGA-PBE level of DFT.

Output
* N(E_F): 7.4 states/eV/cell
* total DFT energy (no corrections): -3.482 eV per atom
* space-group type: I-42d, No. 122
* raw formation energy: 0.90 eV/atom

a = 7.1377 Å, b = 7.1377 Å, c = 7.1377 Å
α = 138.81°, β = 138.81°, γ = 59.67°
Sites, in units of the cell vectors:
Ag 0.0184 0.6250 0.8934
Ag 0.3750 0.2684 0.3934
Ag 0.7316 0.1250 0.1066
Ag 0.8750 0.9816 0.6066
Se 0.2500 0.7500 0.5000
Se 0.5000 0.5000 0.0000
N 0.0000 0.0000 0.0000
N 0.7500 0.2500 0.5000

[3]
Computed, not measured: a relaxed structure of TaCu3S at the GGA-PBE level of DFT.

Output
* N(E_F): 6.5 states/eV/cell
* total DFT energy (no corrections): -3.954 eV per atom
* space-group type: Pm-3m, No. 221
* raw formation energy: 1.70 eV/atom

a = 4.7992 Å, b = 4.7992 Å, c = 4.7992 Å
α = 90.00°, β = 90.00°, γ = 90.00°
Sites, in units of the cell vectors:
Ta 0.0000 0.0000 0.0000
Cu 0.0000 0.0000 0.5000
Cu 0.0000 0.5000 0.0000
Cu 0.5000 0.0000 0.0000
S 0.5000 0.5000 0.5000

[4]
Computed, not measured: a relaxed structure of TaFe2Co at the GGA-PBE level of DFT.

Output
* N(E_F): 3.6 states/eV/cell
* total DFT energy (no corrections): -8.747 eV per atom
* space-group type: R3m, No. 160

a = 8.3592 Å, b = 8.3592 Å, c = 8.3592 Å
α = 18.95°, β = 18.95°, γ = 18.95°
Sites, in units of the cell vectors:
Ta 0.0000 0.0000 0.0000
Fe 0.2429 0.2429 0.2429
Fe 0.4994 0.4994 0.4994
Co 0.7551 0.7551 0.7551

[5]
Computed, not measured: a relaxed structure of RbIn2P2 at the GGA-PBE level of DFT.

Output
* N(E_F): 4.7 states/eV/cell
* total DFT energy (no corrections): -3.457 eV per atom
* space-group type: P4/mbm, No. 127

a = 8.9106 Å, b = 8.9106 Å, c = 3.8781 Å
α = 90.00°, β = 90.00°, γ = 90.00°
Sites, in units of the cell vectors:
Rb 0.0000 0.0000 0.0000
Rb 0.5000 0.5000 0.0000
In 0.1474 0.3526 0.5000
In 0.3526 0.8526 0.5000
In 0.6474 0.1474 0.5000
In 0.8526 0.6474 0.5000
P 0.0871 0.5871 0.0000
P 0.4129 0.0871 0.0000
P 0.5871 0.9129 0.0000
P 0.9129 0.4129 0.0000

[6]
Computed, not measured: a relaxed structure of RbScI2N at the GGA-PBE level of DFT.

Output
* N(E_F): 6.8 states/eV/cell
* total DFT energy (no corrections): -2.897 eV per atom
* space-group type: P4/mmm, No. 123
* raw formation energy: 0.85 eV/atom

a = 6.6189 Å, b = 6.6189 Å, c = 5.1321 Å
α = 90.00°, β = 90.00°, γ = 90.00°
Sites, in units of the cell vectors:
Rb 0.0000 0.0000 0.0000
Sc 0.5000 0.5000 0.5000
I 0.0000 0.5000 0.0000
I 0.5000 0.0000 0.0000
N 0.0000 0.0000 0.5000